(1)
The following is a PBE-GGA calculation of ZrHgP after structural relaxation, from the Alexandria database.

Values from the calculation:
Energy of formation = -28.8 kJ/mol of atoms
E above lowest polymorph = 0.1045 eV per atom
Raw total energy = -15.16 eV per cell

Geometry as CIF:
```
data_ZrHgP
_symmetry_space_group_name_H-M 'P 3 m 1'
_symmetry_Int_Tables_number 156
_cell_length_a 3.8424
_cell_length_b 3.8424
_cell_length_c 5.3900
_cell_angle_alpha 90.00
_cell_angle_beta 90.00
_cell_angle_gamma 120.00
loop_
_symmetry_equiv_pos_as_xyz
'x,y,z'
'-y,x-y,z'
'-x+y,-x,z'
'-y,-x,z'
'-x+y,y,z'
'x,x-y,z'
loop_
_atom_site_label
_atom_site_fract_x
_atom_site_fract_y
_atom_site_fract_z
Zr1 0.0000 0.0000 0.0000
Hg1 0.3333 0.6667 0.4087
P1 0.6667 0.3333 0.7740
```



(2)
The following is a PBE-GGA calculation of Zr2HgP after structural relaxation, from the Alexandria database.

Values from the calculation:
Energy of formation = -51.6 kJ/mol of atoms
E above lowest polymorph = 0.2633 eV per atom
Raw total energy = -49.90 eV per cell

Geometry as CIF:
```
data_Zr2HgP
_symmetry_space_group_name_H-M 'A m m 2'
_symmetry_Int_Tables_number 38
_cell_length_a 3.899
_cell_length_b 3.801
_cell_length_c 10.775
_cell_angle_alpha 90.00
_cell_angle_beta 90.00
_cell_angle_gamma 90.00
loop_
_symmetry_equiv_pos_as_xyz
'x,y,z'
'-x,-y,z'
'-x,y,z'
'x,-y,z'
'x,y+1/2,z+1/2'
'-x,-y+1/2,z+1/2'
'-x,y+1/2,z+1/2'
'x,-y+1/2,z+1/2'
loop_
_atom_site_label
_atom_site_fract_x
_atom_site_fract_y
_atom_site_fract_z
Zr1 0.000 0.000 0.000
Zr2 0.500 0.000 0.314
Hg1 0.000 0.000 0.728
P1 0.500 0.000 0.558
```



(3)
The following is a PBE-GGA calculation of Zr2HgP after structural relaxation, from the Alexandria database.

Values from the calculation:
Energy of formation = -54.4 kJ/mol of atoms
E above lowest polymorph = 0.2340 eV per atom
Raw total energy = -25.06 eV per cell

Geometry as CIF:
```
data_Zr2HgP
_symmetry_space_group_name_H-M 'P 4/m m m'
_symmetry_Int_Tables_number 123
_symmetry_space_group_name_Hall '-P 4 2'
_cell_length_a 3.240
_cell_length_b 3.240
_cell_length_c 7.482
_cell_angle_alpha 90.00
_cell_angle_beta 90.00
_cell_angle_gamma 90.00
loop_
_atom_site_label
_atom_site_fract_x
_atom_site_fract_y
_atom_site_fract_z
Zr1 0.000 0.000 0.207
Hg1 0.500 0.500 0.500
P1 0.500 0.500 0.000
```



(4)
The following is a PBE-GGA calculation of Zr2HgP after structural relaxation, from the Alexandria database.

Values from the calculation:
Energy of formation = -30.4 kJ/mol of atoms
E above lowest polymorph = 0.4835 eV per atom
Raw total energy = -48.13 eV per cell

Geometry as CIF:
```
data_Zr2HgP
_symmetry_space_group_name_H-M 'I -4 m 2'
_symmetry_Int_Tables_number 119
_symmetry_space_group_name_Hall 'I -4 -2'
_cell_length_a 4.045
_cell_length_b 4.045
_cell_length_c 9.754
_cell_angle_alpha 90.00
_cell_angle_beta 90.00
_cell_angle_gamma 90.00
loop_
_atom_site_label
_atom_site_fract_x
_atom_site_fract_y
_atom_site_fract_z
Zr1 0.000 0.000 0.000
Zr2 0.000 0.500 0.250
Hg1 0.000 0.500 0.750
P1 0.000 0.000 0.500
```



(5)
The following is a PBE-GGA calculation of ZrHg2P after structural relaxation, from the Alexandria database.

Values from the calculation:
Energy of formation = 23.7 kJ/mol of atoms
Raw total energy = -40.74 eV per cell

Geometry as CIF:
```
data_ZrHg2P
_symmetry_space_group_name_H-M 'R -3 m'
_symmetry_Int_Tables_number 166
_symmetry_space_group_name_Hall '-R 3 2"'
_cell_length_a 3.2179
_cell_length_b 3.2179
_cell_length_c 28.3902
_cell_angle_alpha 90.00
_cell_angle_beta 90.00
_cell_angle_gamma 120.00
loop_
_atom_site_label
_atom_site_fract_x
_atom_site_fract_y
_atom_site_fract_z
Zr1 0.0000 0.0000 0.0000
Hg1 0.0000 0.0000 0.2464
P1 0.0000 0.0000 0.5000
```



(6)
The following is a PBE-GGA calculation of Zr2HgP2 after structural relaxation, from the Alexandria database.

Values from the calculation:
Energy of formation = -69.8 kJ/mol of atoms
Raw total energy = -63.67 eV per cell

Geometry as CIF:
```
data_Zr2HgP2
_symmetry_space_group_name_H-M 'P 4/m b m'
_symmetry_Int_Tables_number 127
_symmetry_space_group_name_Hall '-P 4 2ab'
_cell_length_a 7.412
_cell_length_b 7.412
_cell_length_c 3.406
_cell_angle_alpha 90.00
_cell_angle_beta 90.00
_cell_angle_gamma 90.00
loop_
_atom_site_label
_atom_site_fract_x
_atom_site_fract_y
_atom_site_fract_z
Zr1 0.150 0.350 0.000
Hg1 0.000 0.000 0.500
P1 0.139 0.639 0.500
```



(7)
The following is a PBE-GGA calculation of ZrHgP3 after structural relaxation, from the Alexandria database.

Values from the calculation:
Energy of formation = 38.8 kJ/mol of atoms
E above lowest polymorph = 0.0000 eV per atom
Raw total energy = -23.07 eV per cell

Geometry as CIF:
```
data_ZrHgP3
_symmetry_space_group_name_H-M 'P m -3 m'
_symmetry_Int_Tables_number 221
_symmetry_space_group_name_Hall '-P 4 2 3'
_cell_length_a 5.048
_cell_length_b 5.048
_cell_length_c 5.048
_cell_angle_alpha 90.00
_cell_angle_beta 90.00
_cell_angle_gamma 90.00
loop_
_atom_site_label
_atom_site_fract_x
_atom_site_fract_y
_atom_site_fract_z
Zr1 0.000 0.000 0.000
Hg1 0.500 0.500 0.500
P1 0.000 0.000 0.500
```



(8)
The following is a PBE-GGA calculation of Zr2HgP after structural relaxation, from the Alexandria database.

Values from the calculation:
Energy of formation = -34.0 kJ/mol of atoms
E above lowest polymorph = 0.4463 eV per atom
Raw total energy = -96.86 eV per cell

Geometry as CIF:
```
data_Zr2HgP
_symmetry_space_group_name_H-M 'F m -3 m'
_symmetry_Int_Tables_number 225
_symmetry_space_group_name_Hall '-F 4 2 3'
_cell_length_a 6.786
_cell_length_b 6.786
_cell_length_c 6.786
_cell_angle_alpha 90.00
_cell_angle_beta 90.00
_cell_angle_gamma 90.00
loop_
_atom_site_label
_atom_site_fract_x
_atom_site_fract_y
_atom_site_fract_z
Zr1 0.250 0.250 0.250
Hg1 0.000 0.000 0.000
P1 0.000 0.000 0.500
```



(9)
The following is a PBE-GGA calculation of ZrHg2P after structural relaxation, from the Alexandria database.

Values from the calculation:
Energy of formation = 0.1 kJ/mol of atoms
Raw total energy = -29.11 eV per cell

Geometry as CIF:
```
data_ZrHg2P
_symmetry_space_group_name_H-M 'I -4 m 2'
_symmetry_Int_Tables_number 119
_symmetry_space_group_name_Hall 'I -4 -2'
_cell_length_a 4.310
_cell_length_b 4.310
_cell_length_c 8.775
_cell_angle_alpha 90.00
_cell_angle_beta 90.00
_cell_angle_gamma 90.00
loop_
_atom_site_label
_atom_site_fract_x
_atom_site_fract_y
_atom_site_fract_z
Zr1 0.000 0.000 0.000
Hg1 0.000 0.000 0.500
Hg2 0.000 0.500 0.750
P1 0.000 0.500 0.250
```



(10)
The following is a PBE-GGA calculation of ZrHg2P after structural relaxation, from the Alexandria database.

Values from the calculation:
Energy of formation = -32.2 kJ/mol of atoms
Raw total energy = -15.90 eV per cell

Geometry as CIF:
```
data_ZrHg2P
_symmetry_space_group_name_H-M 'P 4 m m'
_symmetry_Int_Tables_number 99
_cell_length_a 3.548
_cell_length_b 3.548
_cell_length_c 6.984
_cell_angle_alpha 90.00
_cell_angle_beta 90.00
_cell_angle_gamma 90.00
loop_
_symmetry_equiv_pos_as_xyz
'x,y,z'
'-y,x,z'
'-x,-y,z'
'y,-x,z'
'-x,y,z'
'y,x,z'
'x,-y,z'
'-y,-x,z'
loop_
_atom_site_label
_atom_site_fract_x
_atom_site_fract_y
_atom_site_fract_z
Zr1 0.000 0.000 0.000
Hg1 0.000 0.000 0.568
Hg2 0.500 0.500 0.297
P1 0.500 0.500 0.892
```



(11)
The following is a PBE-GGA calculation of Zr3HgP after structural relaxation, from the Alexandria database.

Values from the calculation:
Energy of formation = -35.8 kJ/mol of atoms
E above lowest polymorph = 0.2697 eV per atom
Raw total energy = -33.21 eV per cell

Geometry as CIF:
```
data_Zr3HgP
_symmetry_space_group_name_H-M 'P m -3 m'
_symmetry_Int_Tables_number 221
_symmetry_space_group_name_Hall '-P 4 2 3'
_cell_length_a 4.876
_cell_length_b 4.876
_cell_length_c 4.876
_cell_angle_alpha 90.00
_cell_angle_beta 90.00
_cell_angle_gamma 90.00
loop_
_atom_site_label
_atom_site_fract_x
_atom_site_fract_y
_atom_site_fract_z
Zr1 0.000 0.000 0.500
Hg1 0.500 0.500 0.500
P1 0.000 0.000 0.000
```



(12)
The following is a PBE-GGA calculation of Zr2HgP after structural relaxation, from the Alexandria database.

Values from the calculation:
Energy of formation = -36.2 kJ/mol of atoms
E above lowest polymorph = 0.4227 eV per atom
Raw total energy = -24.31 eV per cell

Geometry as CIF:
```
data_Zr2HgP
_symmetry_space_group_name_H-M 'P 1 m 1'
_symmetry_Int_Tables_number 6
_cell_length_a 3.221
_cell_length_b 4.876
_cell_length_c 5.355
_cell_angle_alpha 90.00
_cell_angle_beta 102.34
_cell_angle_gamma 90.00
loop_
_symmetry_equiv_pos_as_xyz
'x,y,z'
'x,-y,z'
loop_
_atom_site_label
_atom_site_fract_x
_atom_site_fract_y
_atom_site_fract_z
Zr1 0.000 0.000 0.000
Zr2 0.093 0.500 0.552
Hg1 0.540 0.500 0.077
P1 0.410 0.000 0.561
```



(13)
The following is a PBE-GGA calculation of ZrHg2P after structural relaxation, from the Alexandria database.

Values from the calculation:
Energy of formation = -1.8 kJ/mol of atoms
Raw total energy = -58.54 eV per cell

Geometry as CIF:
```
data_ZrHg2P
_symmetry_space_group_name_H-M 'I -4 2 d'
_symmetry_Int_Tables_number 122
_symmetry_space_group_name_Hall 'I -4 2bw'
_cell_length_a 8.008
_cell_length_b 8.008
_cell_length_c 5.391
_cell_angle_alpha 90.00
_cell_angle_beta 90.00
_cell_angle_gamma 90.00
loop_
_atom_site_label
_atom_site_fract_x
_atom_site_fract_y
_atom_site_fract_z
Zr1 0.000 0.000 0.000
Hg1 0.219 0.250 0.625
P1 0.000 0.000 0.500
```



(14)
The following is a PBE-GGA calculation of Zr2HgP after structural relaxation, from the Alexandria database.

Values from the calculation:
Energy of formation = -37.1 kJ/mol of atoms
E above lowest polymorph = 0.4134 eV per atom
Raw total energy = -48.69 eV per cell

Geometry as CIF:
```
data_Zr2HgP
_symmetry_space_group_name_H-M 'I 4/m m m'
_symmetry_Int_Tables_number 139
_symmetry_space_group_name_Hall '-I 4 2'
_cell_length_a 4.467
_cell_length_b 4.467
_cell_length_c 7.871
_cell_angle_alpha 90.00
_cell_angle_beta 90.00
_cell_angle_gamma 90.00
loop_
_atom_site_label
_atom_site_fract_x
_atom_site_fract_y
_atom_site_fract_z
Zr1 0.000 0.500 0.250
Hg1 0.000 0.000 0.000
P1 0.000 0.000 0.500
```